[1]
Entry from Alexandria: a PBEsol-optimized structure of CdTeRu3 (SCAN).

## Properties
Crystal system   cubic
Space group   Pm-3m (221)
Total energy   -33.07 eV per atom

Cell and atoms, written as POSCAR:
```
CdTeRu3
1.0
-1.941 2.502 3.512
-3.737 -2.899 0.000
2.153 -2.775 3.167
Te Ru Cd
1 3 1
Cartesian
0.000 0.000 0.000 Te
1.076 -1.388 1.584 Ru
-0.971 1.251 1.756 Ru
-1.868 -1.449 0.000 Ru
-1.763 -1.586 3.340 Cd
```


[2]
Entry from Alexandria: a PBEsol-optimized structure of CdTe2Ru (SCAN).

## Properties
Crystal system   orthorhombic
Space group   Cmmm (65)
Total energy   -34.94 eV per atom

Cell and atoms, written as POSCAR:
```
CdTe2Ru
1.0
-3.219 -2.242 0.229
2.820 -4.188 -1.359
-0.427 1.178 5.540
Cd Te Ru
1 2 1
Cartesian
-1.823 -0.532 2.885 Cd
0.870 -1.201 0.475 Te
1.524 -1.809 3.706 Te
-0.413 -2.626 2.205 Ru
```


[3]
Entry from Alexandria: a PBEsol-optimized structure of Tl2CdRu (SCAN).

## Properties
Crystal system   orthorhombic
Space group   Pmm2 (25)
Total energy   -52.03 eV per atom
ΔE_f   0.463 eV per atom

Cell and atoms, written as POSCAR:
```
Tl2CdRu
1.0
-2.900 1.104 1.784
-2.199 -1.151 -2.863
-0.480 -5.313 2.506
Tl Ru Cd
2 1 1
Cartesian
-2.676 -1.417 0.118 Tl
-0.468 -5.179 2.443 Tl
-2.910 -4.011 1.341 Ru
-0.246 -2.723 1.284 Cd
```


[4]
Entry from Alexandria: a PBEsol-optimized structure of Tl2CdRu (SCAN).

## Properties
Crystal system   trigonal
Space group   R3m (160)
Total energy   -52.03 eV per atom
ΔE_f   0.458 eV per atom

Cell and atoms, written as POSCAR:
```
Tl2CdRu
1.0
3.174 0.000 0.000
1.587 2.749 0.000
1.587 0.916 9.670
Ru Cd Tl
1 1 2
Cartesian
1.587 0.916 2.446 Ru
3.174 1.833 4.511 Cd
4.761 2.749 0.360 Tl
4.761 2.749 7.187 Tl
```


[5]
Entry from Alexandria: a PBEsol-optimized structure of TlCdRu (SCAN).

## Properties
Crystal system   tetragonal
Space group   I4mm (107)
Total energy   -45.36 eV per atom
ΔE_f   0.506 eV per atom

Cell and atoms, written as POSCAR:
```
TlCdRu
1.0
-1.968 -1.826 1.893
2.489 -2.057 0.603
1.077 4.765 2.864
Tl Ru Cd
1 1 1
Cartesian
0.847 1.789 2.605 Tl
0.706 -0.999 2.621 Ru
0.044 0.092 0.134 Cd
```


[6]
Entry from Alexandria: a PBEsol-optimized structure of CdRuW2 (SCAN).

## Properties
Crystal system   tetragonal
Space group   P4mm (99)
Total energy   -50.79 eV per atom
ΔE_f   0.366 eV per atom

Cell and atoms, written as POSCAR:
```
CdRuW2
1.0
2.793 0.000 0.000
0.000 2.793 0.000
0.000 0.000 8.187
Ru W Cd
1 2 1
Cartesian
1.396 1.396 6.302 Ru
1.396 1.396 1.943 W
0.000 0.000 8.027 W
0.000 0.000 4.194 Cd
```


[7]
Entry from Alexandria: a PBEsol-optimized structure of CdRuW2 (SCAN).

## Properties
Crystal system   orthorhombic
Space group   Cmmm (65)
Total energy   -50.67 eV per atom
ΔE_f   0.484 eV per atom

Cell and atoms, written as POSCAR:
```
CdRuW2
1.0
2.709 0.015 0.000
-1.017 2.511 0.000
0.000 0.000 9.367
W Ru Cd
2 1 1
Cartesian
0.000 0.000 2.159 W
0.000 0.000 7.208 W
0.846 1.263 0.000 Ru
0.846 1.263 4.684 Cd
```


[8]
Entry from Alexandria: a PBEsol-optimized structure of Y2CdRu (SCAN).

## Properties
Crystal system   tetragonal
Space group   P4/mmm (123)
Total energy   -30.73 eV per atom
ΔE_f   -0.497 eV per atom

Cell and atoms, written as POSCAR:
```
Y2CdRu
1.0
3.411 0.000 0.000
0.000 3.411 0.000
0.000 0.000 7.574
Ru Cd Y
1 1 2
Cartesian
1.705 1.705 3.787 Ru
1.705 1.705 0.000 Cd
0.000 0.000 2.163 Y
0.000 0.000 5.411 Y
```


[9]
Entry from Alexandria: a PBEsol-optimized structure of Y2CdRu (SCAN).

## Properties
Crystal system   tetragonal
Space group   P4mm (99)
Total energy   -30.32 eV per atom
ΔE_f   -0.090 eV per atom

Cell and atoms, written as POSCAR:
```
Y2CdRu
1.0
3.369 0.000 0.000
0.000 3.369 0.000
0.000 0.000 8.035
Cd Ru Y
1 1 2
Cartesian
0.000 0.000 4.387 Cd
1.684 1.684 5.915 Ru
0.000 0.000 7.456 Y
1.684 1.684 2.330 Y
```


[10]
Entry from Alexandria: a PBEsol-optimized structure of YCd3Ru (SCAN).

## Properties
Crystal system   cubic
Space group   Pm-3m (221)
Total energy   -29.14 eV per atom
ΔE_f   1.646 eV per atom

Cell and atoms, written as POSCAR:
```
YCd3Ru
1.0
5.497 0.000 0.000
0.000 5.497 0.000
0.000 0.000 5.497
Cd Y Ru
3 1 1
Cartesian
2.748 0.000 0.000 Cd
0.000 2.748 0.000 Cd
0.000 0.000 2.748 Cd
0.000 0.000 0.000 Y
2.748 2.748 2.748 Ru
```


[11]
Entry from Alexandria: a PBEsol-optimized structure of Y10Cd3Ru (SCAN).

## Properties
Crystal system   hexagonal
Space group   P6_3/mmc (194)
Total energy   -29.26 eV per atom
ΔE_f   -0.365 eV per atom

Cell and atoms, written as POSCAR:
```
Y10Cd3Ru
1.0
9.481 0.000 0.000
-4.740 8.211 0.000
0.000 0.000 9.673
Y Cd Ru
20 6 2
Cartesian
1.763 6.492 0.582 Y
4.740 4.772 9.091 Y
2.957 3.766 2.418 Y
0.000 0.000 4.836 Y
0.000 3.438 0.582 Y
4.740 4.772 5.418 Y
-1.763 6.492 4.254 Y
1.763 6.492 4.254 Y
6.524 3.766 2.418 Y
0.000 3.438 4.254 Y
6.503 1.719 5.418 Y
2.978 1.719 9.091 Y
-1.783 4.444 7.254 Y
2.978 1.719 5.418 Y
0.000 7.533 7.254 Y
6.503 1.719 9.091 Y
-1.763 6.492 0.582 Y
1.783 4.444 7.254 Y
4.740 0.678 2.418 Y
0.000 0.000 0.000 Y
-3.115 7.272 7.254 Cd
0.000 1.877 7.254 Cd
7.855 0.939 2.418 Cd
3.115 7.272 7.254 Cd
1.626 0.939 2.418 Cd
4.740 6.333 2.418 Cd
0.000 5.474 2.418 Ru
4.740 2.737 7.254 Ru
```


[12]
Entry from Alexandria: a PBEsol-optimized structure of YCdRu3 (SCAN).

## Properties
Crystal system   cubic
Space group   Pm-3m (221)
Total energy   -30.98 eV per atom
ΔE_f   1.564 eV per atom

Cell and atoms, written as POSCAR:
```
YCdRu3
1.0
-3.842 2.540 -1.173
0.666 -1.105 -4.575
-2.718 -3.862 0.538
Y Ru Cd
1 3 1
Cartesian
-2.947 -1.214 -2.605 Y
-1.359 -1.931 0.269 Ru
-1.921 1.270 -0.586 Ru
0.333 -0.553 -2.287 Ru
0.000 0.000 0.000 Cd
```


no.,total magnetization (μB per atom)
1,0.414
2,0.000
3,0.107
4,0.000
5,0.000
6,0.000
7,0.000
8,0.000
9,0.075
10,0.426
11,0.000
12,0.945